Density functional theory data (PBE) for crystalline Cs2InWI6 at its relaxed geometry. Values from VASP.

Cell and atoms, written as Quantum ESPRESSO input:
```
&SYSTEM
  ibrav = 0, nat = 10, ntyp = 4
/
ATOMIC_SPECIES
I 126.90 I.upf
In 114.82 In.upf
Cs 132.91 Cs.upf
W 183.84 W.upf
CELL_PARAMETERS angstrom
8.672 0.000 0.000
0.000 8.672 0.000
4.336 4.336 6.131
ATOMIC_POSITIONS crystal
I 0.771 0.229 0.000
In 0.500 0.500 0.000
I 0.229 0.771 0.000
Cs 0.250 0.750 0.500
I 0.770 0.770 0.459
I 0.771 0.771 0.000
I 0.229 0.229 0.000
Cs 0.750 0.250 0.500
W 0.000 0.000 0.000
I 0.230 0.230 0.541
```


Density functional theory data (PBE) for crystalline CsYInI2 at its relaxed geometry. Values from VASP.

Cell and atoms, written as Quantum ESPRESSO input:
```
&SYSTEM
  ibrav = 0, nat = 5, ntyp = 4
/
ATOMIC_SPECIES
Y 88.91 Y.upf
In 114.82 In.upf
I 126.90 I.upf
Cs 132.91 Cs.upf
CELL_PARAMETERS angstrom
-4.760 1.209 4.226
-4.657 -1.481 -4.822
0.063 -6.210 1.847
ATOMIC_POSITIONS crystal
Y 0.500 0.500 0.500
In 0.000 0.000 0.000
I 0.500 0.000 0.000
Cs 0.000 0.500 0.000
I 0.000 0.000 0.500
```


! Cs2YInI6 | Alexandria | PBE | optimized geometry; values from VASP
&SYSTEM
  ibrav = 0, nat = 20, ntyp = 4
/
ATOMIC_SPECIES
I 126.90 I.upf
In 114.82 In.upf
Cs 132.91 Cs.upf
Y 88.91 Y.upf
CELL_PARAMETERS angstrom
-2.842 -4.924 -6.582
7.654 1.881 -4.712
5.605 -10.124 5.063
ATOMIC_POSITIONS crystal
I 0.820 0.781 0.959
I 0.213 0.182 0.459
I 0.320 0.719 0.459
In 0.000 0.500 0.500
I 0.416 0.987 0.734
I 0.084 0.487 0.766
I 0.180 0.219 0.041
I 0.680 0.281 0.541
I 0.787 0.818 0.541
I 0.713 0.318 0.959
In 0.500 0.000 0.000
I 0.287 0.682 0.041
I 0.916 0.513 0.234
Cs 0.475 0.426 0.251
Cs 0.525 0.574 0.749
Cs 0.025 0.926 0.249
I 0.584 0.013 0.266
Y 0.000 0.500 0.000
Y 0.500 0.000 0.500
Cs 0.975 0.074 0.751
! * E above lowest polymorph: 0.000 eV/atom


Density functional theory data (PBE) for crystalline CsYIn2I6 at its relaxed geometry. Values from VASP.

Cell and atoms, written as Quantum ESPRESSO input:
```
&SYSTEM
  ibrav = 0, nat = 10, ntyp = 4
/
ATOMIC_SPECIES
In 114.82 In.upf
I 126.90 I.upf
Cs 132.91 Cs.upf
Y 88.91 Y.upf
CELL_PARAMETERS angstrom
8.697 0.005 0.002
4.353 7.527 0.001
4.351 2.511 7.783
ATOMIC_POSITIONS crystal
In 0.518 0.517 0.448
I 0.368 0.706 0.770
I 0.965 0.551 0.230
Cs 0.814 0.814 0.558
I 0.254 0.965 0.230
In 0.003 0.003 0.992
I 0.551 0.254 0.230
I 0.156 0.368 0.770
I 0.707 0.156 0.770
Y 0.328 0.328 0.017
```


| no. | formation energy without anion corrections (eV per formula unit) |
| --- | --- |
| 1 | -6.63 |
| 2 | 0.88 |
| 3 | -13.02 |
| 4 | -10.55 |